Entry from Alexandria: an optimized crystal structure of PbS6I (PBE-GGA).

VASP energy = -29.965 eV for the cell shown
Raw formation energy = 7 meV per atom
Fermi-level density of states = 0.35 states/eV per atom

a b c (Å): 7.902 7.523 8.431
angles (deg): 107.74 137.62 96.29
Atoms (fractional coordinates):
Pb: 0.000 0.000 0.000
S: 0.379 0.835 0.157
S: 0.257 0.921 0.622
S: 0.899 0.810 0.214
S: 0.743 0.079 0.378
S: 0.621 0.165 0.843
S: 0.101 0.190 0.786
I: 0.500 0.500 0.500